[1]
First-principles (PBE) data for a geometry-optimized CrBiBCl2 structure, as listed in Alexandria via LeMat-Bulk.

Cell and atoms, written as CIF:
```
data_CrBiBCl2
_cell_length_a 5.560
_cell_length_b 4.805
_cell_length_c 5.560
_cell_angle_alpha 90.00
_cell_angle_beta 90.00
_cell_angle_gamma 90.00
_space_group_name_H-M_alt 'P 1'
_space_group_IT_number 1
_space_group_name_Hall 'P 1'
loop_
_atom_site_label
_atom_site_type_symbol
_atom_site_fract_x
_atom_site_fract_y
_atom_site_fract_z
Bi1 Bi 0.000 0.000 0.000
Cr1 Cr 0.500 0.500 0.500
B1 B 0.000 0.500 0.000
Cl1 Cl 0.500 0.000 0.000
Cl2 Cl 0.000 0.000 0.500
```

**E_form (uncorrected)**: 0.989 eV/atom
**DOS at the Fermi energy**: 3.23 states/eV per cell
**E**: -3.786 eV/atom
**Magnetic moment**: 5.6 μB per formula unit
**Crystal system**: tetragonal

[2]
First-principles (PBE) data for a geometry-optimized Tb6DyEr2Sc3 structure, as listed in Alexandria via LeMat-Bulk.

Cell and atoms, written as CIF:
```
data_Tb6DyEr2Sc3
_cell_length_a 6.041
_cell_length_b 6.041
_cell_length_c 11.428
_cell_angle_alpha 95.05
_cell_angle_beta 95.05
_cell_angle_gamma 119.96
_space_group_name_H-M_alt 'P 1'
_space_group_IT_number 1
_space_group_name_Hall 'P 1'
loop_
_atom_site_label
_atom_site_type_symbol
_atom_site_fract_x
_atom_site_fract_y
_atom_site_fract_z
Tb1 Tb 0.580 0.914 0.742
Tb2 Tb 0.086 0.420 0.258
Tb3 Tb 0.914 0.580 0.742
Tb4 Tb 0.420 0.086 0.258
Tb5 Tb 0.247 0.247 0.742
Tb6 Tb 0.753 0.753 0.258
Er1 Er 0.667 0.333 0.000
Er2 Er 0.333 0.667 0.000
Dy1 Dy 0.000 0.000 0.000
Sc1 Sc 0.167 0.833 0.500
Sc2 Sc 0.833 0.167 0.500
Sc3 Sc 0.500 0.500 0.500
```

**DOS at the Fermi energy**: 16.87 states/eV per cell
**ΔE_f**: 0.04 eV per atom
**E**: -5.000 eV/atom
**Magnetic moment**: 0.0 μB per formula unit
**Crystal system**: monoclinic

[3]
First-principles (PBE) data for a geometry-optimized CePuHgBi structure, as listed in Alexandria via LeMat-Bulk.

Cell and atoms, written as CIF:
```
data_CePuHgBi
_cell_length_a 5.472
_cell_length_b 5.472
_cell_length_c 5.472
_cell_angle_alpha 60.00
_cell_angle_beta 60.00
_cell_angle_gamma 60.00
_space_group_name_H-M_alt 'P 1'
_space_group_IT_number 1
_space_group_name_Hall 'P 1'
loop_
_atom_site_label
_atom_site_type_symbol
_atom_site_fract_x
_atom_site_fract_y
_atom_site_fract_z
Hg1 Hg 0.000 0.000 0.000
Ce1 Ce 0.250 0.250 0.250
Bi1 Bi 0.500 0.500 0.500
Pu1 Pu 0.750 0.750 0.750
```

**DOS at the Fermi energy**: 17.24 states/eV per cell
**ΔE_f**: -0.35 eV per atom
**E**: -6.458 eV/atom
**Magnetic moment**: 8.3 μB per formula unit
**Crystal system**: cubic

[4]
First-principles (PBE) data for a geometry-optimized GaMoSN2 structure, as listed in Alexandria via LeMat-Bulk.

Cell and atoms, written as CIF:
```
data_GaMoSN2
_cell_length_a 3.835
_cell_length_b 3.835
_cell_length_c 4.831
_cell_angle_alpha 90.00
_cell_angle_beta 90.00
_cell_angle_gamma 90.00
_space_group_name_H-M_alt 'P 1'
_space_group_IT_number 1
_space_group_name_Hall 'P 1'
loop_
_atom_site_label
_atom_site_type_symbol
_atom_site_fract_x
_atom_site_fract_y
_atom_site_fract_z
N1 N 0.000 0.500 0.000
N2 N 0.500 0.000 0.000
S1 S 0.000 0.000 0.500
Ga1 Ga 0.000 0.000 0.000
Mo1 Mo 0.500 0.500 0.500
```

**E_form (uncorrected)**: 1.294 eV/atom
**DOS at the Fermi energy**: 2.90 states/eV per cell
**E**: -5.634 eV/atom
**Magnetic moment**: 1.1 μB per formula unit
**Crystal system**: tetragonal

[5]
First-principles (PBE) data for a geometry-optimized Cr2SnIrCl structure, as listed in Alexandria via LeMat-Bulk.

Cell and atoms, written as CIF:
```
data_Cr2SnIrCl
_cell_length_a 4.217
_cell_length_b 5.213
_cell_length_c 4.217
_cell_angle_alpha 90.00
_cell_angle_beta 90.00
_cell_angle_gamma 90.00
_space_group_name_H-M_alt 'P 1'
_space_group_IT_number 1
_space_group_name_Hall 'P 1'
loop_
_atom_site_label
_atom_site_type_symbol
_atom_site_fract_x
_atom_site_fract_y
_atom_site_fract_z
Cr1 Cr 0.000 0.000 0.500
Cr2 Cr 0.500 0.000 0.000
Cl1 Cl 0.000 0.000 0.000
Sn1 Sn 0.000 0.500 0.000
Ir1 Ir 0.500 0.500 0.500
```

**E_form (uncorrected)**: 1.029 eV/atom
**DOS at the Fermi energy**: 4.04 states/eV per cell
**E**: -5.762 eV/atom
**Magnetic moment**: 5.9 μB per formula unit
**Crystal system**: tetragonal

[6]
First-principles (PBE) data for a geometry-optimized Pa5Sb structure, as listed in Alexandria via LeMat-Bulk.

Cell and atoms, written as CIF:
```
data_Pa5Sb
_cell_length_a 4.474
_cell_length_b 4.674
_cell_length_c 7.475
_cell_angle_alpha 108.22
_cell_angle_beta 90.00
_cell_angle_gamma 90.00
_space_group_name_H-M_alt 'P 1'
_space_group_IT_number 1
_space_group_name_Hall 'P 1'
loop_
_atom_site_label
_atom_site_type_symbol
_atom_site_fract_x
_atom_site_fract_y
_atom_site_fract_z
Pa1 Pa 0.000 0.338 0.676
Pa2 Pa 0.500 0.500 0.000
Pa3 Pa 0.500 0.835 0.670
Pa4 Pa 0.500 0.165 0.330
Pa5 Pa 0.000 0.662 0.324
Sb1 Sb 0.000 0.000 0.000
```

**E_form (uncorrected)**: -0.187 eV/atom
**DOS at the Fermi energy**: 11.20 states/eV per cell
**E**: -8.788 eV/atom
**Magnetic moment**: 0.0 μB per formula unit
**Crystal system**: orthorhombic